[1]
## TcPtAu2 (GGA-PBE)

Data for an optimized crystal structure of TcPtAu2.

Computed properties:
DFT formation energy (eV/atom): 0.2861
Distance to the lowest polymorph of the same formula (eV per atom): 0.2306

```
data_TcPtAu2
_chemical_formula_sum 'Tc1 Pt1 Au2'
_symmetry_space_group_name_H-M 'P 1 2/m 1'
_symmetry_Int_Tables_number 10
_cell_length_a 2.760
_cell_length_b 4.916
_cell_length_c 4.934
_cell_angle_alpha 90.00
_cell_angle_beta 90.00
_cell_angle_gamma 90.00
loop_
_symmetry_equiv_pos_as_xyz
'x,y,z'
'-x,-y,-z'
'-x,y,-z'
'x,-y,z'
loop_
_atom_site_label
_atom_site_type_symbol
_atom_site_fract_x
_atom_site_fract_y
_atom_site_fract_z
Tc1 Tc 0.000 0.000 0.000
Pt1 Pt 0.500 0.000 0.500
Au1 Au 0.260 0.500 0.247
```

***

[2]
## Tc2PtAu (GGA-PBE)

Data for an optimized crystal structure of Tc2PtAu.

Computed properties:
DFT formation energy (eV/atom): 0.2042
Distance to the lowest polymorph of the same formula (eV per atom): 0.2040

```
data_Tc2PtAu
_chemical_formula_sum 'Tc4 Pt2 Au2'
_symmetry_space_group_name_H-M 'C m m m'
_symmetry_Int_Tables_number 65
_symmetry_space_group_name_Hall '-C 2 2'
_cell_length_a 5.509
_cell_length_b 8.260
_cell_length_c 2.722
_cell_angle_alpha 90.00
_cell_angle_beta 90.00
_cell_angle_gamma 90.00
loop_
_atom_site_label
_atom_site_type_symbol
_atom_site_fract_x
_atom_site_fract_y
_atom_site_fract_z
Tc1 Tc 0.250 0.250 0.000
Pt1 Pt 0.000 0.000 0.500
Au1 Au 0.000 0.500 0.500
```

***

[3]
## TcPt2Au (GGA-PBE)

Data for an optimized crystal structure of TcPt2Au.

Computed properties:
DFT formation energy (eV/atom): 0.1265
Distance to the lowest polymorph of the same formula (eV per atom): 0.2375

```
data_TcPt2Au
_chemical_formula_sum 'Tc2 Pt4 Au2'
_symmetry_space_group_name_H-M 'C m m m'
_symmetry_Int_Tables_number 65
_symmetry_space_group_name_Hall '-C 2 2'
_cell_length_a 5.609
_cell_length_b 8.157
_cell_length_c 2.771
_cell_angle_alpha 90.00
_cell_angle_beta 90.00
_cell_angle_gamma 90.00
loop_
_atom_site_label
_atom_site_type_symbol
_atom_site_fract_x
_atom_site_fract_y
_atom_site_fract_z
Tc1 Tc 0.000 0.000 0.000
Pt1 Pt 0.250 0.250 0.500
Au1 Au 0.000 0.500 0.000
```

***

[4]
## Tc4PtAu (GGA-PBE)

Data for an optimized crystal structure of Tc4PtAu.

Computed properties:
DFT formation energy (eV/atom): 0.4332

```
data_Tc4PtAu
_chemical_formula_sum 'Tc16 Pt4 Au4'
_symmetry_space_group_name_H-M 'F -4 3 m'
_symmetry_Int_Tables_number 216
_symmetry_space_group_name_Hall 'F -4 2 3'
_cell_length_a 7.259
_cell_length_b 7.259
_cell_length_c 7.259
_cell_angle_alpha 90.00
_cell_angle_beta 90.00
_cell_angle_gamma 90.00
loop_
_atom_site_label
_atom_site_type_symbol
_atom_site_fract_x
_atom_site_fract_y
_atom_site_fract_z
Tc1 Tc 0.125 0.125 0.125
Pt1 Pt 0.000 0.000 0.500
Au1 Au 0.250 0.250 0.750
```

***

[5]
## TcPt2Au (GGA-PBE)

Data for an optimized crystal structure of TcPt2Au.

Computed properties:
DFT formation energy (eV/atom): 0.2646
Distance to the lowest polymorph of the same formula (eV per atom): 0.3757

```
data_TcPt2Au
_chemical_formula_sum 'Tc1 Pt2 Au1'
_symmetry_space_group_name_H-M 'P m m m'
_symmetry_Int_Tables_number 47
_cell_length_a 2.751
_cell_length_b 4.850
_cell_length_c 4.879
_cell_angle_alpha 90.00
_cell_angle_beta 90.00
_cell_angle_gamma 90.00
loop_
_symmetry_equiv_pos_as_xyz
'x,y,z'
'-x,-y,-z'
'-x,-y,z'
'x,y,-z'
'x,-y,-z'
'-x,y,z'
'-x,y,-z'
'x,-y,z'
loop_
_atom_site_label
_atom_site_type_symbol
_atom_site_fract_x
_atom_site_fract_y
_atom_site_fract_z
Tc1 Tc 0.000 0.000 0.000
Pt1 Pt 0.000 0.500 0.500
Pt2 Pt 0.500 0.500 0.000
Au1 Au 0.500 0.000 0.500
```

***

[6]
## TlTc2PtAu (GGA-PBE)

Data for an optimized crystal structure of TlTc2PtAu.

Computed properties:
DFT formation energy (eV/atom): 1.6895

```
data_TlTc2PtAu
_chemical_formula_sum 'Tl1 Tc2 Pt1 Au1'
_symmetry_space_group_name_H-M 'P 4/m m m'
_symmetry_Int_Tables_number 123
_symmetry_space_group_name_Hall '-P 4 2'
_cell_length_a 4.998
_cell_length_b 4.998
_cell_length_c 5.060
_cell_angle_alpha 90.00
_cell_angle_beta 90.00
_cell_angle_gamma 90.00
loop_
_atom_site_label
_atom_site_type_symbol
_atom_site_fract_x
_atom_site_fract_y
_atom_site_fract_z
Tl1 Tl 0.000 0.000 0.000
Tc1 Tc 0.000 0.500 0.500
Pt1 Pt 0.500 0.500 0.000
Au1 Au 0.500 0.500 0.500
```

***

[7]
## TePtAu2 (GGA-PBE)

Data for an optimized crystal structure of TePtAu2.

Computed properties:
Uncorrected formation energy (eV per atom): 0.03

```
data_TePtAu2
_chemical_formula_sum 'Te2 Pt2 Au4'
_symmetry_space_group_name_H-M 'C 1 2/m 1'
_symmetry_Int_Tables_number 12
_cell_length_a 11.675
_cell_length_b 3.804
_cell_length_c 4.050
_cell_angle_alpha 90.00
_cell_angle_beta 109.98
_cell_angle_gamma 90.00
loop_
_symmetry_equiv_pos_as_xyz
'x,y,z'
'-x,-y,-z'
'-x,y,-z'
'x,-y,z'
'x+1/2,y+1/2,z'
'-x+1/2,-y+1/2,-z'
'-x+1/2,y+1/2,-z'
'x+1/2,-y+1/2,z'
loop_
_atom_site_label
_atom_site_type_symbol
_atom_site_fract_x
_atom_site_fract_y
_atom_site_fract_z
Te1 Te 0.000 0.000 0.000
Pt1 Pt 0.000 0.500 0.500
Au1 Au 0.246 0.500 0.746
```

***

[8]
## TePt2Au (GGA-PBE)

Data for an optimized crystal structure of TePt2Au.

Computed properties:
Uncorrected formation energy (eV per atom): -0.02

```
data_TePt2Au
_chemical_formula_sum 'Te2 Pt4 Au2'
_symmetry_space_group_name_H-M 'C 1 2/m 1'
_symmetry_Int_Tables_number 12
_cell_length_a 6.751
_cell_length_b 3.895
_cell_length_c 6.487
_cell_angle_alpha 90.00
_cell_angle_beta 110.10
_cell_angle_gamma 90.00
loop_
_symmetry_equiv_pos_as_xyz
'x,y,z'
'-x,-y,-z'
'-x,y,-z'
'x,-y,z'
'x+1/2,y+1/2,z'
'-x+1/2,-y+1/2,-z'
'-x+1/2,y+1/2,-z'
'x+1/2,-y+1/2,z'
loop_
_atom_site_label
_atom_site_type_symbol
_atom_site_fract_x
_atom_site_fract_y
_atom_site_fract_z
Te1 Te 0.000 0.000 0.000
Pt1 Pt 0.250 0.000 0.751
Au1 Au 0.000 0.500 0.500
```

***

[9]
## TePt2Au (GGA-PBE)

Data for an optimized crystal structure of TePt2Au.

Computed properties:
Uncorrected formation energy (eV per atom): -0.02

```
data_TePt2Au
_chemical_formula_sum 'Te1 Pt2 Au1'
_symmetry_space_group_name_H-M 'P 4/m m m'
_symmetry_Int_Tables_number 123
_symmetry_space_group_name_Hall '-P 4 2'
_cell_length_a 3.879
_cell_length_b 3.879
_cell_length_c 5.364
_cell_angle_alpha 90.00
_cell_angle_beta 90.00
_cell_angle_gamma 90.00
loop_
_atom_site_label
_atom_site_type_symbol
_atom_site_fract_x
_atom_site_fract_y
_atom_site_fract_z
Te1 Te 0.000 0.000 0.000
Pt1 Pt 0.000 0.000 0.500
Pt2 Pt 0.500 0.500 0.000
Au1 Au 0.500 0.500 0.500
```

***

[10]
## TePt3Au (GGA-PBE)

Data for an optimized crystal structure of TePt3Au.

Computed properties:
Distance to the lowest polymorph of the same formula (eV per atom): 0.0000
Uncorrected formation energy (eV per atom): 0.88

```
data_TePt3Au
_chemical_formula_sum 'Te1 Pt3 Au1'
_symmetry_space_group_name_H-M 'P m -3 m'
_symmetry_Int_Tables_number 221
_symmetry_space_group_name_Hall '-P 4 2 3'
_cell_length_a 4.929
_cell_length_b 4.929
_cell_length_c 4.929
_cell_angle_alpha 90.00
_cell_angle_beta 90.00
_cell_angle_gamma 90.00
loop_
_atom_site_label
_atom_site_type_symbol
_atom_site_fract_x
_atom_site_fract_y
_atom_site_fract_z
Te1 Te 0.000 0.000 0.000
Pt1 Pt 0.000 0.000 0.500
Au1 Au 0.500 0.500 0.500
```

***

[11]
## TePtAu2 (GGA-PBE)

Data for an optimized crystal structure of TePtAu2.

Computed properties:
Uncorrected formation energy (eV per atom): 0.15

```
data_TePtAu2
_chemical_formula_sum 'Te4 Pt4 Au8'
_symmetry_space_group_name_H-M 'I -4 2 d'
_symmetry_Int_Tables_number 122
_symmetry_space_group_name_Hall 'I -4 2bw'
_cell_length_a 7.788
_cell_length_b 7.788
_cell_length_c 5.483
_cell_angle_alpha 90.00
_cell_angle_beta 90.00
_cell_angle_gamma 90.00
loop_
_atom_site_label
_atom_site_type_symbol
_atom_site_fract_x
_atom_site_fract_y
_atom_site_fract_z
Te1 Te 0.000 0.000 0.000
Pt1 Pt 0.000 0.000 0.500
Au1 Au 0.240 0.250 0.625
```

***

[12]
## TePt2Au (GGA-PBE)

Data for an optimized crystal structure of TePt2Au.

Computed properties:
Uncorrected formation energy (eV per atom): 0.00

```
data_TePt2Au
_chemical_formula_sum 'Te2 Pt4 Au2'
_symmetry_space_group_name_H-M 'I 4/m m m'
_symmetry_Int_Tables_number 139
_symmetry_space_group_name_Hall '-I 4 2'
_cell_length_a 5.391
_cell_length_b 5.391
_cell_length_c 5.532
_cell_angle_alpha 90.00
_cell_angle_beta 90.00
_cell_angle_gamma 90.00
loop_
_atom_site_label
_atom_site_type_symbol
_atom_site_fract_x
_atom_site_fract_y
_atom_site_fract_z
Te1 Te 0.000 0.000 0.000
Pt1 Pt 0.000 0.500 0.000
Au1 Au 0.000 0.000 0.500
```

***

[13]
## TePtAu2 (GGA-PBE)

Data for an optimized crystal structure of TePtAu2.

Computed properties:
Uncorrected formation energy (eV per atom): 0.08

```
data_TePtAu2
_chemical_formula_sum 'Te1 Pt1 Au2'
_symmetry_space_group_name_H-M 'P 4 m m'
_symmetry_Int_Tables_number 99
_cell_length_a 3.617
_cell_length_b 3.617
_cell_length_c 6.014
_cell_angle_alpha 90.00
_cell_angle_beta 90.00
_cell_angle_gamma 90.00
loop_
_symmetry_equiv_pos_as_xyz
'x,y,z'
'-y,x,z'
'-x,-y,z'
'y,-x,z'
'-x,y,z'
'y,x,z'
'x,-y,z'
'-y,-x,z'
loop_
_atom_site_label
_atom_site_type_symbol
_atom_site_fract_x
_atom_site_fract_y
_atom_site_fract_z
Te1 Te 0.000 0.000 0.000
Pt1 Pt 0.500 0.500 0.812
Au1 Au 0.000 0.000 0.537
Au2 Au 0.500 0.500 0.325
```

***

[14]
## TePt2Au (GGA-PBE)

Data for an optimized crystal structure of TePt2Au.

Computed properties:
Uncorrected formation energy (eV per atom): 0.03

```
data_TePt2Au
_chemical_formula_sum 'Te3 Pt6 Au3'
_symmetry_space_group_name_H-M 'R 3 m'
_symmetry_Int_Tables_number 160
_symmetry_space_group_name_Hall 'R 3 -2"'
_cell_length_a 3.9930
_cell_length_b 3.9930
_cell_length_c 17.9008
_cell_angle_alpha 90.00
_cell_angle_beta 90.00
_cell_angle_gamma 120.00
loop_
_atom_site_label
_atom_site_type_symbol
_atom_site_fract_x
_atom_site_fract_y
_atom_site_fract_z
Te1 Te 0.0000 0.0000 0.0000
Pt1 Pt 0.0000 0.0000 0.2575
Pt2 Pt 0.0000 0.0000 0.5169
Au1 Au 0.0000 0.0000 0.7709
```

***

[15]
## Te4PtAu (GGA-PBE)

Data for an optimized crystal structure of Te4PtAu.

Computed properties:
Distance to the lowest polymorph of the same formula (eV per atom): 0.0000
Uncorrected formation energy (eV per atom): -0.24

```
data_Te4PtAu
_chemical_formula_sum 'Te8 Pt2 Au2'
_symmetry_space_group_name_H-M 'C 1 2/m 1'
_symmetry_Int_Tables_number 12
_cell_length_a 12.745
_cell_length_b 4.119
_cell_length_c 7.258
_cell_angle_alpha 90.00
_cell_angle_beta 123.69
_cell_angle_gamma 90.00
loop_
_symmetry_equiv_pos_as_xyz
'x,y,z'
'-x,-y,-z'
'-x,y,-z'
'x,-y,z'
'x+1/2,y+1/2,z'
'-x+1/2,-y+1/2,-z'
'-x+1/2,y+1/2,-z'
'x+1/2,-y+1/2,z'
loop_
_atom_site_label
_atom_site_type_symbol
_atom_site_fract_x
_atom_site_fract_y
_atom_site_fract_z
Te1 Te 0.126 0.000 0.289
Te2 Te 0.146 0.500 0.834
Pt1 Pt 0.000 0.500 0.000
Au1 Au 0.000 0.000 0.500
```

***

[16]
## TePtAu2 (GGA-PBE)

Data for an optimized crystal structure of TePtAu2.

Computed properties:
Uncorrected formation energy (eV per atom): 0.01

```
data_TePtAu2
_chemical_formula_sum 'Te3 Pt3 Au6'
_symmetry_space_group_name_H-M 'R 3 m'
_symmetry_Int_Tables_number 160
_symmetry_space_group_name_Hall 'R 3 -2"'
_cell_length_a 3.8609
_cell_length_b 3.8609
_cell_length_c 20.0664
_cell_angle_alpha 90.00
_cell_angle_beta 90.00
_cell_angle_gamma 120.00
loop_
_atom_site_label
_atom_site_type_symbol
_atom_site_fract_x
_atom_site_fract_y
_atom_site_fract_z
Te1 Te 0.0000 0.0000 0.0000
Pt1 Pt 0.0000 0.0000 0.7401
Au1 Au 0.0000 0.0000 0.2347
Au2 Au 0.0000 0.0000 0.4853
```

***

[17]
## Te4Pt2Au (GGA-PBE)

Data for an optimized crystal structure of Te4Pt2Au.

Computed properties:
Uncorrected formation energy (eV per atom): -0.21

```
data_Te4Pt2Au
_chemical_formula_sum 'Te16 Pt8 Au4'
_symmetry_space_group_name_H-M 'P n m a'
_symmetry_Int_Tables_number 62
_cell_length_a 13.332
_cell_length_b 4.040
_cell_length_c 15.615
_cell_angle_alpha 90.00
_cell_angle_beta 90.00
_cell_angle_gamma 90.00
loop_
_symmetry_equiv_pos_as_xyz
'x,y,z'
'-x,-y,-z'
'-x+1/2,-y,z+1/2'
'x+1/2,y,-z+1/2'
'x+1/2,-y+1/2,-z+1/2'
'-x+1/2,y+1/2,z+1/2'
'-x,y+1/2,-z'
'x,-y+1/2,z'
loop_
_atom_site_label
_atom_site_type_symbol
_atom_site_fract_x
_atom_site_fract_y
_atom_site_fract_z
Te1 Te 0.007 0.250 0.099
Te2 Te 0.029 0.750 0.408
Te3 Te 0.237 0.750 0.001
Te4 Te 0.239 0.250 0.807
Pt1 Pt 0.115 0.250 0.952
Pt2 Pt 0.143 0.250 0.356
Au1 Au 0.160 0.250 0.651
```

***

[18]
## TePtAu2 (GGA-PBE)

Data for an optimized crystal structure of TePtAu2.

Computed properties:
Uncorrected formation energy (eV per atom): 0.27

```
data_TePtAu2
_chemical_formula_sum 'Te3 Pt3 Au6'
_symmetry_space_group_name_H-M 'R -3 m'
_symmetry_Int_Tables_number 166
_symmetry_space_group_name_Hall '-R 3 2"'
_cell_length_a 3.0049
_cell_length_b 3.0049
_cell_length_c 30.6870
_cell_angle_alpha 90.00
_cell_angle_beta 90.00
_cell_angle_gamma 120.00
loop_
_atom_site_label
_atom_site_type_symbol
_atom_site_fract_x
_atom_site_fract_y
_atom_site_fract_z
Te1 Te 0.0000 0.0000 0.0000
Pt1 Pt 0.0000 0.0000 0.5000
Au1 Au 0.0000 0.0000 0.2411
```

***

[19]
## TePtAu3 (GGA-PBE)

Data for an optimized crystal structure of TePtAu3.

Computed properties:
Distance to the lowest polymorph of the same formula (eV per atom): 0.0000
Uncorrected formation energy (eV per atom): 0.75

```
data_TePtAu3
_chemical_formula_sum 'Te1 Pt1 Au3'
_symmetry_space_group_name_H-M 'P m -3 m'
_symmetry_Int_Tables_number 221
_symmetry_space_group_name_Hall '-P 4 2 3'
_cell_length_a 5.068
_cell_length_b 5.068
_cell_length_c 5.068
_cell_angle_alpha 90.00
_cell_angle_beta 90.00
_cell_angle_gamma 90.00
loop_
_atom_site_label
_atom_site_type_symbol
_atom_site_fract_x
_atom_site_fract_y
_atom_site_fract_z
Te1 Te 0.000 0.000 0.000
Pt1 Pt 0.500 0.500 0.500
Au1 Au 0.000 0.500 0.500
```

***

[20]
## TePt2Au (GGA-PBE)

Data for an optimized crystal structure of TePt2Au.

Computed properties:
Uncorrected formation energy (eV per atom): 0.12

```
data_TePt2Au
_chemical_formula_sum 'Te2 Pt4 Au2'
_symmetry_space_group_name_H-M 'I -4 m 2'
_symmetry_Int_Tables_number 119
_symmetry_space_group_name_Hall 'I -4 -2'
_cell_length_a 4.168
_cell_length_b 4.168
_cell_length_c 8.421
_cell_angle_alpha 90.00
_cell_angle_beta 90.00
_cell_angle_gamma 90.00
loop_
_atom_site_label
_atom_site_type_symbol
_atom_site_fract_x
_atom_site_fract_y
_atom_site_fract_z
Te1 Te 0.000 0.000 0.000
Pt1 Pt 0.000 0.000 0.500
Pt2 Pt 0.000 0.500 0.250
Au1 Au 0.000 0.500 0.750
```

***

Q: Which DOS(E_F) values were calculated for the entries above? A: 3.50; 5.37; 5.16; 9.72; 3.85; 5.58; 2.91; 1.32; 1.60; 3.00; 1.33; 1.68; 1.89; 1.88; 2.30; 1.39; 4.82; 1.35; 6.08; 1.39, in states/eV/f.u..